Record 1
The following is a PBEsol calculation of a relaxed MgTi5O10 crystal, from Alexandria via LeMat-Bulk.

The structure belongs to space group P2_1/m (No. 11); the cell edges are 5.191, 9.981 and 7.463 Å and the angles 90.00°, 109.23° and 90.00°. The asymmetric unit holds Mg at (0.042, 0.250, 0.153), Ti at (0.044, 0.061, 0.821), Ti at (0.453, 0.750, 0.346), Ti at (0.455, 0.564, 0.682), O at (0.089, 0.750, 0.146), O at (0.185, 0.612, 0.773), O at (0.218, 0.068, 0.096), O at (0.282, 0.568, 0.407), O at (0.327, 0.119, 0.727) and O at (0.417, 0.250, 0.372).

---

Record 2
The following is a PBEsol calculation of a relaxed Tm2MgTiO6 crystal, from Alexandria via LeMat-Bulk.

The structure belongs to space group P2_1/c (No. 14); the cell edges are 5.203, 5.541 and 9.135 Å and the angles 90.00°, 124.25° and 90.00°. The asymmetric unit holds Tm at (0.226, 0.071, 0.247), Mg at (0.000, 0.000, 0.500), Ti at (0.500, 0.000, 0.000), O at (0.138, 0.187, 0.941), O at (0.250, 0.702, 0.933) and O at (0.380, 0.049, 0.757).

---

Record 3
The following is a PBEsol calculation of a relaxed Y2MgTiO6 crystal, from Alexandria via LeMat-Bulk.

The structure belongs to space group P2_1/c (No. 14); the cell edges are 5.270, 5.579 and 9.223 Å and the angles 90.00°, 124.52° and 90.00°. The asymmetric unit holds Y at (0.229, 0.068, 0.248), Mg at (0.000, 0.000, 0.500), Ti at (0.500, 0.000, 0.000), O at (0.144, 0.188, 0.944), O at (0.252, 0.704, 0.937) and O at (0.372, 0.044, 0.757).

---

Record 4
The following is a PBEsol calculation of a relaxed Mg2V3O8 crystal, from Alexandria via LeMat-Bulk.

The structure belongs to space group C2/m (No. 12); the cell edges are 10.532, 5.683 and 4.765 Å and the angles 90.00°, 111.85° and 90.00°. The asymmetric unit holds Mg at (0.234, 0.000, 0.166), V at (0.000, 0.211, 0.500), V at (0.000, 0.500, 0.000), O at (0.103, 0.500, 0.409), O at (0.114, 0.269, 0.900) and O at (0.115, 0.000, 0.418).

The offset from the most stable computed form comes out at 0 meV/atom.

---

Record 5
The following is a PBEsol calculation of a relaxed Mg2V2O7 crystal, from Alexandria via LeMat-Bulk.

The structure belongs to space group P-1 (No. 2); the cell edges are 4.943, 5.420 and 10.571 Å and the angles 101.17°, 102.40° and 98.53°. The asymmetric unit holds Mg at (0.013, 0.289, 0.084), Mg at (0.075, 0.288, 0.584), V at (0.355, 0.295, 0.865), V at (0.465, 0.149, 0.360), O at (0.129, 0.461, 0.786), O at (0.191, 0.078, 0.933), O at (0.213, 0.053, 0.439), O at (0.263, 0.615, 0.540), O at (0.293, 0.578, 0.043), O at (0.318, 0.260, 0.234) and O at (0.397, 0.122, 0.711).

---

Record 6
The following is a PBEsol calculation of a relaxed Mg3V2O7 crystal, from Alexandria via LeMat-Bulk.

The structure belongs to space group Cmc2_1 (No. 36); the cell edges are 17.507, 5.051 and 5.260 Å and the angles 90.00°, 90.00° and 90.00°. The asymmetric unit holds Mg at (0.000, 0.237, 0.000), Mg at (0.193, 0.238, 0.867), V at (0.104, 0.252, 0.431), O at (0.000, 0.365, 0.397), O at (0.079, 0.068, 0.756), O at (0.129, 0.439, 0.136) and O at (0.206, 0.136, 0.489).

---

Record 7
The following is a PBEsol calculation of a relaxed Mg2VO4 crystal, from Alexandria via LeMat-Bulk.

The structure belongs to space group Fd-3m (No. 227, origin choice 2); the cell edges are 8.336, 8.336 and 8.336 Å and the angles 90.00°, 90.00° and 90.00°. The asymmetric unit holds Mg at (0.000, 0.000, 0.000), V at (0.125, 0.125, 0.625) and O at (0.001, 0.001, 0.249).

---

Record 8
The following is a PBEsol calculation of a relaxed MgVO3 crystal, from Alexandria via LeMat-Bulk.

The structure belongs to space group Cmcm (No. 63); the cell edges are 5.239, 10.159 and 5.221 Å and the angles 90.00°, 90.00° and 90.00°. The asymmetric unit holds Mg at (0.000, 0.076, 0.250), V at (0.000, 0.430, 0.250), O at (0.000, 0.267, 0.250) and O at (0.237, 0.500, 0.000).

---

Here are the calculated final energy numbers, same order: -8.989, -8.505, -8.858, -8.216, -7.952, -7.634, -7.414, -7.949 (eV per atom).